# CaPr5Zn3

A geometry-optimized CaPr5Zn3 structure (GGA-PBE, Alexandria via LeMat-Bulk).

The calculation puts the formation energy at -0.134 eV/atom. As for the space-group type: No. 193.

Cell: 7.0034 9.2423 9.2420 Å, 120.00 90.00 90.00°
Positions (direct):
Ca1 0.0000 0.0000 0.0000
Ca2 0.5000 0.0000 0.0000
Pr1 0.0000 0.6667 0.3335
Pr2 0.5000 0.3333 0.6665
Pr3 0.0000 0.3333 0.6665
Pr4 0.5000 0.6667 0.3335
Pr5 0.7500 0.6684 0.6685
Pr6 0.7500 0.9999 0.3315
Pr7 0.7500 0.3316 0.0000
Pr8 0.2500 0.3316 0.3315
Pr9 0.2500 0.0001 0.6685
Pr10 0.2500 0.6684 0.0000
Zn1 0.7500 0.3331 0.3331
Zn2 0.7500 0.0000 0.6669
Zn3 0.7500 0.6669 0.0000
Zn4 0.2500 0.6669 0.6669
Zn5 0.2500 0.0000 0.3331
Zn6 0.2500 0.3331 0.0000